DFT (PBE) results for a relaxed Tb12Y3Cd crystal.

Lattice parameters (Å, degrees): 4.982 4.982 20.171 90.00 90.00 90.00
Element x y z (fractional)
Tb1 0.000 0.000 0.000
Tb2 0.000 0.000 0.244
Tb3 0.000 0.000 0.500
Tb4 0.000 0.000 0.756
Tb5 0.000 0.500 0.121
Tb6 0.000 0.500 0.373
Tb7 0.000 0.500 0.627
Tb8 0.000 0.500 0.879
Tb9 0.500 0.000 0.121
Tb10 0.500 0.000 0.373
Tb11 0.500 0.000 0.627
Tb12 0.500 0.000 0.879
Y1 0.500 0.500 0.247
Y2 0.500 0.500 0.500
Y3 0.500 0.500 0.753
Cd1 0.500 0.500 0.000

Calculated values
- raw total energy (eV for the cell shown) = -75.93
- calculated formation energy (eV/atom) = 0.00
- size of the total moment (μB/f.u.) = 0.00


DFT (PBE) results for a relaxed Ho2ScAl crystal.

Lattice parameters (Å, degrees): 5.213 5.213 5.213 60.00 60.00 60.00
Element x y z (fractional)
Ho1 0.250 0.250 0.250
Ho2 0.750 0.750 0.750
Sc1 0.000 0.000 0.000
Al1 0.500 0.500 0.500

Calculated values
- raw total energy (eV for the cell shown) = -19.66
- calculated formation energy (eV/atom) = -0.11
- energy above the most stable polymorph in this dataset (meV/atom) = 93.3
- size of the total moment (μB/f.u.) = 0.04


DFT (PBE) results for a relaxed Ce2HoPa crystal.

Lattice parameters (Å, degrees): 11.622 11.622 11.622 16.42 16.42 16.42
Element x y z (fractional)
Ce1 0.000 0.000 0.000
Ce2 0.162 0.162 0.162
Ho1 0.582 0.582 0.582
Pa1 0.414 0.414 0.414

Calculated values
- raw total energy (eV for the cell shown) = -25.49
- calculated formation energy (eV/atom) = 0.11
- energy above the most stable polymorph in this dataset (meV/atom) = 32.5
- size of the total moment (μB/f.u.) = 0.00


DFT (PBE) results for a relaxed Ca5Ga2H2 crystal.

Lattice parameters (Å, degrees): 6.767 6.767 6.321 98.55 98.55 47.32
Element x y z (fractional)
Ca1 0.000 0.000 0.000
Ca2 0.157 0.157 0.537
Ca3 0.342 0.342 0.086
Ca4 0.658 0.658 0.914
Ca5 0.843 0.843 0.463
Ga1 0.425 0.425 0.645
Ga2 0.575 0.575 0.355
H1 0.168 0.168 0.899
H2 0.832 0.832 0.101

Calculated values
- raw total energy (eV for the cell shown) = -26.05
- energy above the most stable polymorph in this dataset (meV/atom) = 0.0
- size of the total moment (μB/f.u.) = 0.00


DFT (PBE) results for a relaxed PmTl2Cu crystal.

Lattice parameters (Å, degrees): 4.679 4.679 4.494 90.00 90.00 90.00
Element x y z (fractional)
Pm1 0.000 0.000 0.000
Tl1 0.000 0.500 0.500
Tl2 0.500 0.000 0.500
Cu1 0.500 0.500 0.000

Calculated values
- raw total energy (eV for the cell shown) = -13.94
- calculated formation energy (eV/atom) = -0.09
- energy above the most stable polymorph in this dataset (meV/atom) = 140.0
- size of the total moment (μB/f.u.) = 0.00


DFT (PBE) results for a relaxed TlSn3Se crystal.

Lattice parameters (Å, degrees): 5.601 5.601 5.601 90.00 90.00 90.00
Element x y z (fractional)
Tl1 0.000 0.000 0.000
Sn1 0.000 0.500 0.500
Sn2 0.500 0.000 0.500
Sn3 0.500 0.500 0.000
Se1 0.500 0.500 0.500

Calculated values
- raw total energy (eV for the cell shown) = -16.40
- energy relative to the elements, uncorrected (kJ/mol of atoms) = 28
- energy above the most stable polymorph in this dataset (meV/atom) = 0.0
- size of the total moment (μB/f.u.) = 0.00


DFT (PBE) results for a relaxed MgCdPb2I crystal.

Lattice parameters (Å, degrees): 6.087 6.087 5.563 90.00 90.00 90.00
Element x y z (fractional)
Mg1 0.000 0.000 0.000
Cd1 0.500 0.500 0.000
Pb1 0.000 0.500 0.500
Pb2 0.500 0.000 0.500
I1 0.000 0.000 0.500

Calculated values
- raw total energy (eV for the cell shown) = -8.38
- energy relative to the elements, uncorrected (kJ/mol of atoms) = 60
- size of the total moment (μB/f.u.) = 0.00


DFT (PBE) results for a relaxed PPtRh2 crystal.

Lattice parameters (Å, degrees): 7.029 7.029 7.029 137.46 137.46 61.73
Element x y z (fractional)
P1 0.000 0.000 0.000
P2 0.750 0.250 0.500
Pt1 0.250 0.750 0.500
Pt2 0.500 0.500 0.000
Rh1 0.072 0.625 0.947
Rh2 0.375 0.322 0.447
Rh3 0.678 0.125 0.053
Rh4 0.875 0.928 0.553

Calculated values
- raw total energy (eV for the cell shown) = -50.62
- calculated formation energy (eV/atom) = 0.21
- size of the total moment (μB/f.u.) = 0.00


DFT (PBE) results for a relaxed TbPuPtO6 crystal.

Lattice parameters (Å, degrees): 5.356 5.356 10.122 90.00 90.00 120.00
Element x y z (fractional)
Tb1 0.000 0.000 0.000
Tb2 0.000 0.000 0.500
Pu1 0.333 0.667 0.250
Pu2 0.667 0.333 0.750
Pt1 0.333 0.667 0.750
Pt2 0.667 0.333 0.250
O1 0.015 0.354 0.636
O2 0.015 0.661 0.864
O3 0.339 0.354 0.864
O4 0.339 0.985 0.636
O5 0.354 0.015 0.136
O6 0.354 0.339 0.364
O7 0.646 0.661 0.636
O8 0.646 0.985 0.864
O9 0.661 0.015 0.364
O10 0.661 0.646 0.136
O11 0.985 0.339 0.136
O12 0.985 0.646 0.364

Calculated values
- raw total energy (eV for the cell shown) = -149.57
- energy relative to the elements, uncorrected (kJ/mol of atoms) = -215
- size of the total moment (μB/f.u.) = 3.00


DFT (PBE) results for a relaxed SrLiBOs2 crystal.

Lattice parameters (Å, degrees): 4.243 4.243 4.703 90.00 90.00 90.00
Element x y z (fractional)
Sr1 0.000 0.000 0.000
Li1 0.000 0.000 0.500
B1 0.500 0.500 0.000
Os1 0.000 0.500 0.500
Os2 0.500 0.000 0.500

Calculated values
- raw total energy (eV for the cell shown) = -22.72
- calculated formation energy (eV/atom) = 2.00
- size of the total moment (μB/f.u.) = 0.00


DFT (PBE) results for a relaxed MgBeIn2 crystal.

Lattice parameters (Å, degrees): 5.189 5.189 5.977 117.61 117.61 37.78
Element x y z (fractional)
Mg1 0.000 0.000 0.000
Be1 0.699 0.699 0.958
In1 0.200 0.200 0.631
In2 0.375 0.375 0.343

Calculated values
- raw total energy (eV for the cell shown) = -9.82
- calculated formation energy (eV/atom) = 0.24
- energy above the most stable polymorph in this dataset (meV/atom) = 14.2
- size of the total moment (μB/f.u.) = 0.00


DFT (PBE) results for a relaxed LiHg2Pb3 crystal.

Lattice parameters (Å, degrees): 8.681 8.681 3.578 90.00 90.00 143.93
Element x y z (fractional)
Li1 0.000 0.000 0.000
Hg1 0.134 0.866 0.500
Hg2 0.866 0.134 0.500
Pb1 0.316 0.684 0.000
Pb2 0.500 0.500 0.500
Pb3 0.684 0.316 0.000

Calculated values
- raw total energy (eV for the cell shown) = -14.21
- calculated formation energy (eV/atom) = -0.09
- energy above the most stable polymorph in this dataset (meV/atom) = 0.0
- size of the total moment (μB/f.u.) = 0.00


DFT (PBE) results for a relaxed Y2TcW crystal.

Lattice parameters (Å, degrees): 4.857 4.857 4.857 60.00 60.00 60.00
Element x y z (fractional)
Y1 0.000 0.000 0.000
Y2 0.250 0.250 0.250
Tc1 0.500 0.500 0.500
W1 0.750 0.750 0.750

Calculated values
- raw total energy (eV for the cell shown) = -34.39
- calculated formation energy (eV/atom) = 0.46
- energy above the most stable polymorph in this dataset (meV/atom) = 387.9
- size of the total moment (μB/f.u.) = 0.00


DFT (PBE) results for a relaxed Na3UPd2Se6 crystal.

Lattice parameters (Å, degrees): 6.626 6.626 7.507 98.47 98.47 119.98
Element x y z (fractional)
Na1 0.000 0.000 0.000
Na2 0.335 0.665 0.000
Na3 0.665 0.335 0.000
U1 0.500 0.500 0.500
Pd1 0.167 0.833 0.500
Pd2 0.833 0.167 0.500
Se1 0.086 0.428 0.283
Se2 0.231 0.231 0.716
Se3 0.428 0.086 0.283
Se4 0.572 0.914 0.717
Se5 0.769 0.769 0.284
Se6 0.914 0.572 0.717

Calculated values
- raw total energy (eV for the cell shown) = -56.35
- energy relative to the elements, uncorrected (kJ/mol of atoms) = -79
- size of the total moment (μB/f.u.) = 0.27


DFT (PBE) results for a relaxed InSnTeI2 crystal.

Lattice parameters (Å, degrees): 6.097 6.097 5.821 90.00 90.00 90.00
Element x y z (fractional)
In1 0.000 0.000 0.000
Sn1 0.500 0.500 0.500
Te1 0.500 0.500 0.000
I1 0.000 0.500 0.500
I2 0.500 0.000 0.500

Calculated values
- raw total energy (eV for the cell shown) = -13.59
- energy relative to the elements, uncorrected (kJ/mol of atoms) = -12
- energy above the most stable polymorph in this dataset (meV/atom) = 0.0
- size of the total moment (μB/f.u.) = 0.00


DFT (PBE) results for a relaxed Ac2Ga4CuPt3 crystal.

Lattice parameters (Å, degrees): 4.466 4.466 10.350 90.00 90.00 90.00
Element x y z (fractional)
Ac1 0.000 0.500 0.250
Ac2 0.500 0.000 0.750
Ga1 0.000 0.000 0.000
Ga2 0.000 0.500 0.619
Ga3 0.500 0.000 0.381
Ga4 0.500 0.500 0.000
Cu1 0.000 0.000 0.500
Pt1 0.000 0.500 0.869
Pt2 0.500 0.000 0.131
Pt3 0.500 0.500 0.500

Calculated values
- raw total energy (eV for the cell shown) = -51.00
- calculated formation energy (eV/atom) = -0.85
- size of the total moment (μB/f.u.) = 0.00


DFT (PBE) results for a relaxed Rb3PrSb2Te6 crystal.

Lattice parameters (Å, degrees): 7.979 7.979 8.959 98.55 98.55 120.00
Element x y z (fractional)
Rb1 0.000 0.000 0.000
Rb2 0.335 0.665 0.000
Rb3 0.665 0.335 0.000
Pr1 0.500 0.500 0.500
Sb1 0.167 0.833 0.500
Sb2 0.833 0.167 0.500
Te1 0.090 0.433 0.301
Te2 0.223 0.223 0.699
Te3 0.433 0.090 0.301
Te4 0.567 0.910 0.699
Te5 0.777 0.777 0.301
Te6 0.910 0.567 0.699

Calculated values
- raw total energy (eV for the cell shown) = -44.49
- energy relative to the elements, uncorrected (kJ/mol of atoms) = -78
- size of the total moment (μB/f.u.) = 0.00


DFT (PBE) results for a relaxed BaCeNbN3 crystal.

Lattice parameters (Å, degrees): 8.101 3.708 8.224 90.00 99.26 90.00
Element x y z (fractional)
Ba1 0.179 0.250 0.183
Ba2 0.821 0.750 0.817
Ce1 0.375 0.750 0.846
Ce2 0.625 0.250 0.154
Nb1 0.107 0.250 0.597
Nb2 0.893 0.750 0.403
N1 0.142 0.250 0.834
N2 0.157 0.750 0.502
N3 0.432 0.750 0.116
N4 0.568 0.250 0.884
N5 0.843 0.250 0.498
N6 0.858 0.750 0.166

Calculated values
- raw total energy (eV for the cell shown) = -97.15
- energy relative to the elements, uncorrected (kJ/mol of atoms) = -91
- size of the total moment (μB/f.u.) = 0.62


DFT (PBE) results for a relaxed Bi2HRuSe crystal.

Lattice parameters (Å, degrees): 5.262 5.262 3.458 90.00 90.00 90.00
Element x y z (fractional)
Bi1 0.000 0.500 0.000
Bi2 0.500 0.000 0.000
H1 0.000 0.000 0.000
Ru1 0.000 0.000 0.500
Se1 0.500 0.500 0.500

Calculated values
- raw total energy (eV for the cell shown) = -22.33
- size of the total moment (μB/f.u.) = 0.00


DFT (PBE) results for a relaxed Be2AgSb crystal.

Lattice parameters (Å, degrees): 4.576 4.576 4.576 60.00 60.00 60.00
Element x y z (fractional)
Be1 0.000 0.000 0.000
Be2 0.250 0.250 0.250
Ag1 0.500 0.500 0.500
Sb1 0.750 0.750 0.750

Calculated values
- raw total energy (eV for the cell shown) = -11.48
- energy relative to the elements, uncorrected (kJ/mol of atoms) = 71
- size of the total moment (μB/f.u.) = 0.00


DFT (PBE) results for a relaxed Al8Ag2Ir crystal.

Lattice parameters (Å, degrees): 8.913 8.913 5.430 106.61 106.61 27.56
Element x y z (fractional)
Al1 0.021 0.021 0.276
Al2 0.221 0.221 0.147
Al3 0.358 0.358 0.704
Al4 0.400 0.400 0.243
Al5 0.600 0.600 0.757
Al6 0.642 0.642 0.296
Al7 0.779 0.779 0.853
Al8 0.979 0.979 0.724
Ag1 0.180 0.180 0.631
Ag2 0.820 0.820 0.369
Ir1 0.500 0.500 0.000

Calculated values
- raw total energy (eV for the cell shown) = -46.45
- calculated formation energy (eV/atom) = -0.18
- size of the total moment (μB/f.u.) = 0.00


DFT (PBE) results for a relaxed TbPuSe2 crystal.

Lattice parameters (Å, degrees): 7.195 7.195 7.195 33.10 33.10 33.10
Element x y z (fractional)
Tb1 0.000 0.000 0.000
Pu1 0.500 0.500 0.500
Se1 0.251 0.251 0.251
Se2 0.749 0.749 0.749

Calculated values
- raw total energy (eV for the cell shown) = -32.65
- energy relative to the elements, uncorrected (kJ/mol of atoms) = -162
- energy above the most stable polymorph in this dataset (meV/atom) = 0.0
- size of the total moment (μB/f.u.) = 5.89


DFT (PBE) results for a relaxed LiY2As crystal.

Lattice parameters (Å, degrees): 6.571 6.571 6.571 106.27 106.27 116.09
Element x y z (fractional)
Li1 0.000 0.000 0.000
Li2 0.750 0.250 0.500
Y1 0.150 0.625 0.025
Y2 0.375 0.400 0.525
Y3 0.600 0.125 0.975
Y4 0.875 0.850 0.475
As1 0.250 0.750 0.500
As2 0.500 0.500 0.000

Calculated values
- raw total energy (eV for the cell shown) = -41.61
- calculated formation energy (eV/atom) = -0.33
- size of the total moment (μB/f.u.) = 0.00


DFT (PBE) results for a relaxed Sm5Bi4 crystal.

Lattice parameters (Å, degrees): 9.192 9.192 9.192 93.36 93.36 151.98
Element x y z (fractional)
Sm1 0.000 0.000 0.000
Sm2 0.281 0.398 0.680
Sm3 0.398 0.719 0.117
Sm4 0.602 0.281 0.883
Sm5 0.719 0.602 0.320
Bi1 0.086 0.241 0.327
Bi2 0.241 0.914 0.154
Bi3 0.759 0.086 0.846
Bi4 0.914 0.759 0.673

Calculated values
- raw total energy (eV for the cell shown) = -45.14
- calculated formation energy (eV/atom) = -0.67
- size of the total moment (μB/f.u.) = 0.00


DFT (PBE) results for a relaxed MgV2Ge2 crystal.

Lattice parameters (Å, degrees): 6.325 6.325 6.325 144.87 144.87 50.53
Element x y z (fractional)
Mg1 0.000 0.000 0.000
V1 0.250 0.750 0.500
V2 0.750 0.250 0.500
Ge1 0.393 0.393 0.000
Ge2 0.607 0.607 0.000

Calculated values
- raw total energy (eV for the cell shown) = -29.47
- calculated formation energy (eV/atom) = -0.08
- size of the total moment (μB/f.u.) = 0.00